A plane-wave DFT calculation with PBE was carried out for Nd6Ge2Ir after structural relaxation.

Cell lengths 8.145, 8.145, 4.323 Å; angles 90.00, 90.00, 120.00 degrees
Last column: magnetic moment on the atom in μB.
Positions (direct):
Ge 0.667 0.333 0.000  -0.01
Ge 0.333 0.667 0.000  -0.01
Ir 0.000 0.000 0.500  0.01
Nd 0.749 0.000 0.000  0.06
Nd 0.251 0.251 0.000  0.06
Nd 0.000 0.749 0.000  0.09
Nd 0.410 0.000 0.500  0.09
Nd 0.000 0.410 0.500  0.11
Nd 0.590 0.590 0.500  0.08

Values from the calculation:
Its space group is P-62m (189). The value obtained for the calculated total energy is -5.7699 eV per atom. Its density is 8.04 Mg/m³.